# 1
First-principles (GGA-PBE) data for a geometry-optimized La3CdN structure, as listed in the Alexandria database.

Values from the calculation:
For the energy above the lowest structure with this stoichiometry, the calculation gives 0.00 eV per formula unit. As for the density of states at the Fermi level: 4.8 states/eV/f.u. For the volume, the calculation gives 136 Å³/f.u. Its space-group type is Pm-3m (221).

Lattice parameters (Å, degrees): 5.1370 5.1370 5.1370 90.00 90.00 90.00
With the nearest neighbours (Å) after each atom.
Fractional coordinates of all 5 atoms:
La (0.0000, 0.0000, 0.5000)  2 N 2.57
La (0.0000, 0.5000, 0.0000)  2 N 2.57
La (0.5000, 0.0000, 0.0000)  2 N 2.57
Cd (0.5000, 0.5000, 0.5000)  12 La 3.63
N (0.0000, 0.0000, 0.0000)  6 La 2.57

=====

# 2
First-principles (GGA-PBE) data for a geometry-optimized LaNbCd2N structure, as listed in the Alexandria database.

Values from the calculation:
For the energy above the lowest structure with this stoichiometry, the calculation gives 5.19 eV per formula unit. As for the density of states at the Fermi level: 4.6 states/eV/f.u. For the volume, the calculation gives 160 Å³/f.u. Its space-group type is P4/mmm (123).

Lattice parameters (Å, degrees): 5.4941 5.4941 5.2857 90.00 90.00 90.00
With the nearest neighbours (Å) after each atom.
Fractional coordinates of all 5 atoms:
La (0.0000, 0.0000, 0.0000)  2 Nb 2.64
Nb (0.0000, 0.0000, 0.5000)  2 La 2.64, 4 Cd 2.75
Cd (0.0000, 0.5000, 0.5000)  2 Nb 2.75
Cd (0.5000, 0.0000, 0.5000)  2 Nb 2.75
N (0.5000, 0.5000, 0.0000)  8 Cd 3.81, 4 La 3.88

=====

# 3
First-principles (GGA-PBE) data for a geometry-optimized LaNbCd2N structure, as listed in the Alexandria database.

Values from the calculation:
For the energy above the lowest structure with this stoichiometry, the calculation gives 0.00 eV per formula unit. As for the density of states at the Fermi level: 3.9 states/eV/f.u. For the volume, the calculation gives 110 Å³/f.u. Its space-group type is P4/mmm (123).

Lattice parameters (Å, degrees): 4.7682 4.7682 4.8544 90.00 90.00 90.00
With the nearest neighbours (Å) after each atom.
Fractional coordinates of all 5 atoms:
La (0.0000, 0.0000, 0.0000)  2 N 2.43
Nb (0.5000, 0.5000, 0.0000)  4 La 3.37, 8 Cd 3.40
Cd (0.0000, 0.5000, 0.5000)  2 N 2.38
Cd (0.5000, 0.0000, 0.5000)  2 N 2.38
N (0.0000, 0.0000, 0.5000)  4 Cd 2.38, 2 La 2.43

=====

# 4
First-principles (GGA-PBE) data for a geometry-optimized La2CdNiN structure, as listed in the Alexandria database.

Values from the calculation:
As for the density of states at the Fermi level: 6.1 states/eV/f.u. For the volume, the calculation gives 108 Å³/f.u. Its space-group type is P4/mmm (123).

Lattice parameters (Å, degrees): 5.3420 5.3420 3.7697 90.00 90.00 90.00
With the nearest neighbours (Å) after each atom.
Fractional coordinates of all 5 atoms:
La (0.0000, 0.5000, 0.0000)  2 N 2.67
La (0.5000, 0.0000, 0.0000)  2 N 2.67
Cd (0.0000, 0.0000, 0.5000)  8 La 3.27
Ni (0.5000, 0.5000, 0.5000)  2 N 1.88
N (0.5000, 0.5000, 0.0000)  2 Ni 1.88

=====

# 5
First-principles (GGA-PBE) data for a geometry-optimized LaCdNO2 structure, as listed in the Alexandria database.

Values from the calculation:
As for the density of states at the Fermi level: 3.2 states/eV/f.u. For the volume, the calculation gives 73 Å³/f.u. Its space-group type is P4/mmm (123).

Lattice parameters (Å, degrees): 4.1717 4.1717 4.1963 90.00 90.00 90.00
With the nearest neighbours (Å) after each atom.
Fractional coordinates of all 5 atoms:
La (0.0000, 0.0000, 0.0000)  4 N 2.95, 8 O 2.96
Cd (0.5000, 0.5000, 0.5000)  4 O 2.09, 2 N 2.10
N (0.5000, 0.5000, 0.0000)  2 Cd 2.10
O (0.0000, 0.5000, 0.5000)  2 Cd 2.09
O (0.5000, 0.0000, 0.5000)  2 Cd 2.09

=====

# 6
First-principles (GGA-PBE) data for a geometry-optimized LaCdNO2 structure, as listed in the Alexandria database.

Values from the calculation:
As for the density of states at the Fermi level: 3.3 states/eV/f.u. For the volume, the calculation gives 89 Å³/f.u. Its space-group type is P4/mmm (123).

Lattice parameters (Å, degrees): 4.4619 4.4619 4.4900 90.00 90.00 90.00
With the nearest neighbours (Å) after each atom.
Fractional coordinates of all 5 atoms:
La (0.0000, 0.0000, 0.0000)  4 O 2.23, 2 N 2.24
Cd (0.5000, 0.5000, 0.5000)  4 N 3.16, 8 O 3.16
N (0.0000, 0.0000, 0.5000)  2 La 2.24
O (0.0000, 0.5000, 0.0000)  2 La 2.23
O (0.5000, 0.0000, 0.0000)  2 La 2.23

=====

# 7
First-principles (GGA-PBE) data for a geometry-optimized La2CdOsN structure, as listed in the Alexandria database.

Values from the calculation:
As for the density of states at the Fermi level: 2.9 states/eV/f.u. For the volume, the calculation gives 113 Å³/f.u. Its space-group type is P4/mmm (123).

Lattice parameters (Å, degrees): 5.4041 5.4041 3.8561 90.00 90.00 90.00
With the nearest neighbours (Å) after each atom.
Fractional coordinates of all 5 atoms:
La (0.0000, 0.5000, 0.0000)  2 N 2.70
La (0.5000, 0.0000, 0.0000)  2 N 2.70
Cd (0.0000, 0.0000, 0.5000)  8 La 3.32
Os (0.5000, 0.5000, 0.5000)  2 N 1.93
N (0.5000, 0.5000, 0.0000)  2 Os 1.93

=====

# 8
First-principles (GGA-PBE) data for a geometry-optimized La2CdPbN structure, as listed in the Alexandria database.

Values from the calculation:
For the energy above the lowest structure with this stoichiometry, the calculation gives 7.00 eV per formula unit. As for the density of states at the Fermi level: 9.2 states/eV/f.u. For the volume, the calculation gives 168 Å³/f.u. Its space-group type is P4/mmm (123).

Lattice parameters (Å, degrees): 6.1884 6.1884 4.3913 90.00 90.00 90.00
With the nearest neighbours (Å) after each atom.
Fractional coordinates of all 5 atoms:
La (0.0000, 0.5000, 0.0000)  2 Pb 3.09
La (0.5000, 0.0000, 0.0000)  2 Pb 3.09
Cd (0.0000, 0.0000, 0.5000)  8 La 3.79
Pb (0.5000, 0.5000, 0.0000)  2 N 2.20
N (0.5000, 0.5000, 0.5000)  2 Pb 2.20

=====

# 9
First-principles (GGA-PBE) data for a geometry-optimized La2CdPbN structure, as listed in the Alexandria database.

Values from the calculation:
For the energy above the lowest structure with this stoichiometry, the calculation gives 0.00 eV per formula unit. As for the density of states at the Fermi level: 2.2 states/eV/f.u. For the volume, the calculation gives 126 Å³/f.u. Its space-group type is P4/mmm (123).

Lattice parameters (Å, degrees): 5.0762 5.0762 4.8946 90.00 90.00 90.00
With the nearest neighbours (Å) after each atom.
Fractional coordinates of all 5 atoms:
La (0.0000, 0.5000, 0.0000)  2 N 2.54
La (0.5000, 0.0000, 0.0000)  2 N 2.54
Cd (0.0000, 0.0000, 0.5000)  2 N 2.45
Pb (0.5000, 0.5000, 0.5000)  8 La 3.53, 4 Cd 3.59
N (0.0000, 0.0000, 0.0000)  2 Cd 2.45, 4 La 2.54

=====

# 10
First-principles (GGA-PBE) data for a geometry-optimized La2PrCdN structure, as listed in the Alexandria database.

Values from the calculation:
As for the density of states at the Fermi level: 5.2 states/eV/f.u. For the volume, the calculation gives 134 Å³/f.u. Its space-group type is P4/mmm (123).

Lattice parameters (Å, degrees): 5.1176 5.1176 5.1328 90.00 90.00 90.00
With the nearest neighbours (Å) after each atom.
Fractional coordinates of all 5 atoms:
La (0.0000, 0.5000, 0.0000)  2 N 2.56
La (0.5000, 0.0000, 0.0000)  2 N 2.56
Pr (0.0000, 0.0000, 0.5000)  2 N 2.57
Cd (0.5000, 0.5000, 0.5000)  4 Pr 3.62, 8 La 3.62
N (0.0000, 0.0000, 0.0000)  4 La 2.56, 2 Pr 2.57

=====

# 11
First-principles (GGA-PBE) data for a geometry-optimized LaCd2PtN structure, as listed in the Alexandria database.

Values from the calculation:
As for the density of states at the Fermi level: 4.5 states/eV/f.u. For the volume, the calculation gives 238 Å³/f.u. Its space-group type is P4/mmm (123).

Lattice parameters (Å, degrees): 6.7460 6.7460 5.2369 90.00 90.00 90.00
With the nearest neighbours (Å) after each atom.
Fractional coordinates of all 5 atoms:
La (0.0000, 0.0000, 0.0000)  2 Pt 2.62
Cd (0.0000, 0.5000, 0.0000)  2 La 3.37
Cd (0.5000, 0.0000, 0.0000)  2 La 3.37
Pt (0.0000, 0.0000, 0.5000)  2 La 2.62
N (0.5000, 0.5000, 0.5000)  8 Cd 4.27, 4 Pt 4.77

=====

# 12
First-principles (GGA-PBE) data for a geometry-optimized La2CdReN structure, as listed in the Alexandria database.

Values from the calculation:
As for the density of states at the Fermi level: 2.4 states/eV/f.u. For the volume, the calculation gives 113 Å³/f.u. Its space-group type is P4/mmm (123).

Lattice parameters (Å, degrees): 5.3575 5.3575 3.9231 90.00 90.00 90.00
With the nearest neighbours (Å) after each atom.
Fractional coordinates of all 5 atoms:
La (0.0000, 0.5000, 0.0000)  2 N 2.68
La (0.5000, 0.0000, 0.0000)  2 N 2.68
Cd (0.0000, 0.0000, 0.5000)  8 La 3.32
Re (0.5000, 0.5000, 0.5000)  2 N 1.96
N (0.5000, 0.5000, 0.0000)  2 Re 1.96

=====

no.,electronic total energy (eV/cell),ΔE_f (raw) (eV per atom)
1,-27.7,-0.731
2,-17.7,1.497
3,-22.9,0.458
4,-27.7,-0.567
5,-27.9,-0.772
6,-26.1,-0.403
7,-33.1,-0.561
8,-19.1,0.733
9,-26.1,-0.667
10,-27.4,-0.707
11,-14.1,1.402
12,-34.3,-0.542